KSb2Au3: relaxed, PBE.

Cell: 4.6861 9.3174 8.3479 Å, 108.03 90.00 104.56°
Last column: nearest neighbours and their distance in Å.
Atoms (fractional coordinates):
K (0.8362, 0.6724, 0.9429)  4 Au 3.21-3.53
K (0.1638, 0.3276, 0.0571)  4 Au 3.21-3.53
Sb (0.4999, 0.9998, 0.8230)  4 Au 2.72-2.92, 1 Sb 2.95
Sb (0.5001, 0.0002, 0.1770)  4 Au 2.72-2.92, 1 Sb 2.95
Sb (0.8111, 0.6222, 0.3688)  4 Au 2.70-2.83
Sb (0.1889, 0.3778, 0.6312)  4 Au 2.70-2.83
Au (0.3356, 0.6712, 0.6139)  2 Sb 2.70-2.92, 2 Au 2.88
Au (0.9333, 0.8666, 0.6813)  3 Sb 2.72-2.83, 2 Au 2.88
Au (0.6325, 0.2650, 0.7290)  3 Sb 2.75-2.78
Au (0.3675, 0.7350, 0.2710)  3 Sb 2.75-2.78
Au (0.0667, 0.1334, 0.3187)  3 Sb 2.72-2.83, 2 Au 2.88
Au (0.6644, 0.3288, 0.3861)  2 Sb 2.70-2.92, 2 Au 2.88

E above lowest polymorph, meV per atom: 25.0
N(E_F), states/eV per atom: 0.3773
Total energy, eV/atom: -3.4161
SG: No. 12


KSbAu2: relaxed, PBE.

Cell: 5.0045 5.0047 3.8401 Å, 90.00 90.00 90.00°
Last column: nearest neighbours and their distance in Å.
Atoms (fractional coordinates):
Au (0.0000, 0.0000, 0.0000)  4 K 3.15, 4 Sb 3.15
Au (0.5000, 0.5000, 0.0000)  4 Sb 3.15, 4 K 3.15
K (0.5000, 0.0000, 0.5000)  8 Au 3.15
Sb (0.0000, 0.5000, 0.5000)  8 Au 3.15

N(E_F), states/eV per atom: 0.3318
Total energy, eV/atom: -2.9757
SG: No. 123


KSbAu3: relaxed, PBE.

Cell: 5.8932 7.3805 7.3805 Å, 98.45 66.47 66.47°
Last column: nearest neighbours and their distance in Å.
Atoms (fractional coordinates):
K (0.0000, 0.5000, 0.5000)  10 Au 3.46-3.70, 4 Sb 3.54, 2 K 3.81
K (0.5000, 0.0000, 0.0000)  10 Au 3.46-3.70, 4 Sb 3.54, 2 K 3.81
Sb (0.7500, 0.2093, 0.2907)  6 Au 2.76-3.00
Sb (0.2500, 0.7907, 0.7093)  6 Au 2.76-3.00
Au (0.9283, 0.2661, 0.8774)  3 Au 2.72-2.93, 2 Sb 2.96-3.00
Au (0.5717, 0.6226, 0.2339)  3 Au 2.72-2.93, 2 Sb 2.96-3.00
Au (0.4283, 0.3774, 0.7661)  3 Au 2.72-2.93, 2 Sb 2.96-3.00
Au (0.0717, 0.7339, 0.1226)  3 Au 2.72-2.93, 2 Sb 2.96-3.00
Au (0.0000, 0.0000, 0.5000)  2 Sb 2.76, 6 Au 2.93-2.95
Au (0.5000, 0.0000, 0.5000)  2 Sb 2.76, 6 Au 2.93-2.95

E above lowest polymorph, meV per atom: 59.3
N(E_F), states/eV per atom: 0.4087
Total energy, eV/atom: -3.1598
SG: No. 74


K3Sb4Au4: relaxed, PBE.

Cell: 7.5656 7.5656 7.5656 Å, 109.47 109.47 109.47°
Last column: nearest neighbours and their distance in Å.
Atoms (fractional coordinates):
K (0.5000, 0.5000, 0.0000)  4 Au 3.57, 4 Sb 3.57
K (0.5000, 0.0000, 0.5000)  4 Au 3.57, 4 Sb 3.57
K (0.0000, 0.5000, 0.5000)  4 Au 3.57, 4 Sb 3.57
Sb (0.0000, 0.3120, 0.0000)  4 Au 2.68-2.83
Sb (0.0000, 0.0000, 0.3120)  4 Au 2.68-2.83
Sb (0.3120, 0.0000, 0.0000)  4 Au 2.68-2.83
Sb (0.6880, 0.6880, 0.6880)  4 Au 2.68-2.83
Au (0.0000, 0.6658, 0.0000)  4 Sb 2.68-2.83
Au (0.6658, 0.0000, 0.0000)  4 Sb 2.68-2.83
Au (0.0000, 0.0000, 0.6658)  4 Sb 2.68-2.83
Au (0.3342, 0.3342, 0.3342)  4 Sb 2.68-2.83

E above lowest polymorph, meV per atom: 38.7
N(E_F), states/eV per atom: 0.4103
Total energy, eV/atom: -3.3055
SG: No. 217


KSb12Au7: relaxed, PBE.

Cell: 7.0156 13.7861 8.0917 Å, 60.82 89.29 115.13°
Last column: nearest neighbours and their distance in Å.
Atoms (fractional coordinates):
K (0.0000, 0.0000, 0.0000)  6 Au 3.51-3.82
Sb (0.6708, 0.4479, 0.2092)  3 Au 2.79-2.95, 2 Sb 3.02-3.04
Sb (0.0466, 0.7645, 0.6623)  2 Au 2.70-2.82, 2 Sb 2.88-2.89
Sb (0.4452, 0.3403, 0.9743)  3 Au 2.79-3.01, 2 Sb 3.02-3.04
Sb (0.4026, 0.9998, 0.3368)  2 Au 2.71-2.80, 2 Sb 2.88-2.99
Sb (0.8081, 0.6128, 0.5086)  1 Au 2.72, 2 Sb 2.89-2.94
Sb (0.7871, 0.2560, 0.7998)  3 Au 2.70-2.74, 1 Sb 2.94
Sb (0.2129, 0.7440, 0.2002)  3 Au 2.70-2.74, 1 Sb 2.94
Sb (0.1919, 0.3872, 0.4914)  1 Au 2.72, 2 Sb 2.89-2.94
Sb (0.5974, 0.0002, 0.6632)  2 Au 2.71-2.80, 2 Sb 2.88-2.99
Sb (0.5548, 0.6597, 0.0257)  3 Au 2.79-3.01, 2 Sb 3.02-3.04
Sb (0.9534, 0.2355, 0.3377)  2 Au 2.70-2.82, 2 Sb 2.88-2.89
Sb (0.3292, 0.5521, 0.7908)  3 Au 2.79-2.95, 2 Sb 3.02-3.04
Au (0.8817, 0.3875, 0.9826)  5 Sb 2.74-2.95, 1 Au 2.99
Au (0.1646, 0.1128, 0.3295)  3 Sb 2.70-2.79, 1 Au 2.83
Au (0.4990, 0.3211, 0.6230)  4 Sb 2.70-3.01
Au (0.5000, 0.0000, 0.0000)  4 Sb 2.73-2.80
Au (0.5010, 0.6789, 0.3770)  4 Sb 2.70-3.01
Au (0.8354, 0.8872, 0.6705)  3 Sb 2.70-2.79, 1 Au 2.83
Au (0.1183, 0.6125, 0.0174)  5 Sb 2.74-2.95, 1 Au 2.99

N(E_F), states/eV per atom: 0.3628
Total energy, eV/atom: -3.7170
SG: No. 2


KSbAu4: relaxed, PBE.

Cell: 4.0576 9.1729 8.2065 Å, 90.00 90.00 90.00°
Last column: nearest neighbours and their distance in Å.
Atoms (fractional coordinates):
K (0.0000, 0.6620, 0.7500)  12 Au 3.41-3.72
K (0.0000, 0.3380, 0.2500)  12 Au 3.41-3.72
Sb (0.0000, 0.2092, 0.7500)  8 Au 2.81-2.91
Sb (0.0000, 0.7908, 0.2500)  8 Au 2.81-2.91
Au (0.0000, 0.0000, 0.5000)  2 Sb 2.81, 4 Au 2.89
Au (0.0000, 0.0000, 0.0000)  2 Sb 2.81, 4 Au 2.89
Au (0.5000, 0.9823, 0.7500)  4 Au 2.89, 2 Sb 2.91
Au (0.5000, 0.0177, 0.2500)  4 Au 2.89, 2 Sb 2.91
Au (0.5000, 0.6243, 0.0808)  2 Au 2.64-2.78, 2 Sb 2.89
Au (0.5000, 0.3757, 0.9192)  2 Au 2.64-2.78, 2 Sb 2.89
Au (0.5000, 0.6243, 0.4192)  2 Au 2.64-2.78, 2 Sb 2.89
Au (0.5000, 0.3757, 0.5808)  2 Au 2.64-2.78, 2 Sb 2.89

E above lowest polymorph, meV per atom: 80.5
N(E_F), states/eV per atom: 0.2790
Total energy, eV/atom: -3.1225
SG: No. 51


- The highest total energy belongs to which entry?
  KSbAu2